Record 1
{"formula": "TiGaMo2Ru", "functional": "PBE", "state": "relaxed", "lattice": [[-4.438, -1.073, -0.315], [1.017, -3.368, -2.843], [0.440, -2.861, 3.546]], "species": ["Ru", "Mo", "Mo", "Ga", "Ti"], "frac_coords": [[0.000, 0.500, 0.000], [0.000, 0.000, 0.500], [0.500, 0.000, 0.000], [0.500, 0.500, 0.500], [0.000, 0.000, 0.000]], "sg": "P4/mmm", "e_tot_ev_per_fu": -35.36, "e_form_ev_per_atom": 1.2994}



Record 2
{"formula": "Tm2Ga2MoRu5", "functional": "PBE", "state": "relaxed", "lattice": [[-3.179, -0.704, 0.520], [-0.916, -2.932, -9.565], [2.504, -9.367, 2.632]], "species": ["Tm", "Tm", "Tm", "Tm", "Ga", "Ga", "Ga", "Ga", "Mo", "Mo", "Ru", "Ru", "Ru", "Ru", "Ru", "Ru", "Ru", "Ru", "Ru", "Ru"], "frac_coords": [[0.000, 0.671, 0.171], [0.000, 0.329, 0.829], [0.000, 0.171, 0.329], [0.000, 0.829, 0.671], [0.000, 0.128, 0.628], [0.000, 0.872, 0.372], [0.000, 0.628, 0.872], [0.000, 0.372, 0.128], [0.000, 0.000, 0.000], [0.000, 0.500, 0.500], [0.500, 0.196, 0.065], [0.500, 0.804, 0.935], [0.500, 0.065, 0.804], [0.500, 0.696, 0.435], [0.500, 0.935, 0.196], [0.500, 0.304, 0.565], [0.500, 0.565, 0.696], [0.500, 0.435, 0.304], [0.500, 0.500, 0.000], [0.500, 0.000, 0.500]], "sg": "P4/mbm", "e_tot_ev_per_fu": -75.39, "e_form_ev_per_atom": -0.3184}



Record 3
{"formula": "VGaMoRu", "functional": "PBE", "state": "relaxed", "lattice": [[-3.034, 3.082, -0.114], [-2.880, 0.081, -3.227], [-4.137, -1.008, 0.767]], "species": ["Ru", "Mo", "Ga", "V"], "frac_coords": [[0.250, 0.250, 0.250], [0.750, 0.750, 0.750], [0.500, 0.500, 0.500], [0.000, 0.000, 0.000]], "sg": "F-43m", "e_tot_ev_per_fu": -32.93, "e_form_ev_per_atom": -0.1703}



Record 4
{"formula": "Zn2GaMoRu", "functional": "PBE", "state": "relaxed", "lattice": [[5.047, 0.000, 0.000], [0.000, 4.614, 0.000], [0.000, 0.000, 5.047]], "species": ["Ru", "Mo", "Zn", "Zn", "Ga"], "frac_coords": [[0.000, 0.500, 0.000], [0.000, 0.000, 0.000], [0.000, 0.000, 0.500], [0.500, 0.000, 0.000], [0.500, 0.500, 0.500]], "sg": "P4/mmm", "e_tot_ev_per_fu": -20.01, "e_form_ev_per_atom": 1.1341}



Record 5
{"formula": "Ga3MoS", "functional": "PBE", "state": "relaxed", "lattice": [[-3.091, -2.857, 1.901], [1.690, -3.494, -2.504], [2.987, -0.980, 3.384]], "species": ["Mo", "S", "Ga", "Ga", "Ga"], "frac_coords": [[0.500, 0.500, 0.500], [0.000, 0.000, 0.000], [0.000, 0.500, 0.000], [0.000, 0.000, 0.500], [0.500, 0.000, 0.000]], "relative_energy_mev_per_atom": 314, "sg": "Pm-3m", "e_tot_ev_per_fu": -19.03, "e_form_raw_ev_per_atom": 1.00}



Record 6
{"formula": "GaMo4S8", "functional": "PBE", "state": "relaxed", "lattice": [[-0.304, -5.678, 3.988], [0.566, -6.297, -2.874], [5.712, -3.804, 1.067]], "species": ["Ga", "Mo", "Mo", "Mo", "Mo", "S", "S", "S", "S", "S", "S", "S", "S"], "frac_coords": [[0.500, 0.500, 0.500], [0.102, 0.102, 0.693], [0.102, 0.102, 0.102], [0.102, 0.693, 0.102], [0.693, 0.102, 0.102], [0.908, 0.364, 0.364], [0.364, 0.364, 0.908], [0.364, 0.364, 0.364], [0.364, 0.908, 0.364], [0.400, 0.867, 0.867], [0.867, 0.400, 0.867], [0.867, 0.867, 0.867], [0.867, 0.867, 0.400]], "sg": "F-43m", "e_tot_ev_per_fu": -89.42, "e_form_raw_ev_per_atom": -0.77}



Computed DOS at the Fermi energy (states/eV/f.u.) in order:
6.74, 6.32, 3.39, 6.31, 2.82, 13.04
Computed total magnetization (Bohr magnetons per cell) in order:
0.6, 0.0, 0.0, 1.0, 0.0, 0.8